1.
Material: CaLaZn2
Method: DFT, GGA-PBEsol
State: relaxed

a b c (Å): 5.164 5.164 5.164
angles (deg): 60.00 60.00 60.00
Positions (direct):
Ca 0.000 0.000 0.000
La 0.500 0.500 0.500
Zn 0.250 0.250 0.250
Zn 0.750 0.750 0.750

Results
Excess energy over the best structure of this formula in the dataset, eV/f.u.: 0.00
Total magnetization, μB/cell: 0.0
V, Å³/atom: 24.34
Total energy, eV/atom: -2.938


2.
Material: Ti6O
Method: DFT, GGA-PBEsol
State: relaxed

a b c (Å): 5.050 5.050 4.692
angles (deg): 90.00 90.00 120.00
Positions (direct):
Ti 0.000 0.332 0.240
Ti 0.000 0.668 0.760
Ti 0.332 0.000 0.240
Ti 0.332 0.332 0.760
Ti 0.668 0.000 0.760
Ti 0.668 0.668 0.240
O 0.000 0.000 0.500

Results
Excess energy over the best structure of this formula in the dataset, eV/f.u.: 0.09
Total magnetization, μB/cell: 0.0
V, Å³/atom: 14.81
Total energy, eV/atom: -8.719
Formation energy (no corrections), eV/atom: -0.835


3.
Material: BeSiOs2Pd
Method: DFT, GGA-PBEsol
State: relaxed

a b c (Å): 4.355 4.355 4.301
angles (deg): 90.00 90.00 90.00
Positions (direct):
Be 0.000 0.000 0.000
Si 0.500 0.500 0.500
Os 0.000 0.500 0.500
Os 0.500 0.000 0.500
Pd 0.500 0.500 0.000

Results
Total magnetization, μB/cell: 0.0
V, Å³/atom: 16.31
Total energy, eV/atom: -6.847
Formation energy (no corrections), eV/atom: 1.180


4.
Material: SrNi2P4
Method: DFT, GGA-PBEsol
State: relaxed

a b c (Å): 10.541 9.766 5.384
angles (deg): 82.76 66.80 30.45
Positions (direct):
Sr 0.125 0.125 0.125
Sr 0.875 0.875 0.875
Ni 0.255 0.255 0.495
Ni 0.495 0.495 0.255
Ni 0.505 0.505 0.745
Ni 0.745 0.745 0.505
P 0.179 0.684 0.186
P 0.186 0.451 0.179
P 0.316 0.821 0.549
P 0.451 0.186 0.684
P 0.549 0.814 0.316
P 0.684 0.179 0.451
P 0.814 0.549 0.821
P 0.821 0.316 0.814

Results
Total magnetization, μB/cell: 0.0
V, Å³/atom: 16.39
Total energy, eV/atom: -6.029


5.
Material: RbAl2Au2
Method: DFT, GGA-PBEsol
State: relaxed

a b c (Å): 6.491 6.491 6.491
angles (deg): 139.81 139.81 58.14
Positions (direct):
Rb 0.000 0.000 0.000
Al 0.250 0.750 0.500
Al 0.750 0.250 0.500
Au 0.367 0.367 0.000
Au 0.633 0.633 0.000

Results
Total magnetization, μB/cell: 0.0
V, Å³/atom: 22.57
Total energy, eV/atom: -3.659


6.
Material: TlAgSb2
Method: DFT, GGA-PBEsol
State: relaxed

a b c (Å): 3.274 3.274 9.306
angles (deg): 90.00 90.00 90.00
Positions (direct):
Tl 0.000 0.000 0.000
Ag 0.000 0.000 0.500
Sb 0.500 0.500 0.289
Sb 0.500 0.500 0.711

Results
Total magnetization, μB/cell: 0.0
V, Å³/atom: 24.94
Total energy, eV/atom: -3.670
Formation energy (no corrections), eV/atom: 0.094


7.
Material: TaCoN2O
Method: DFT, GGA-PBEsol
State: relaxed

a b c (Å): 4.023 4.023 3.877
angles (deg): 90.00 90.00 90.00
Positions (direct):
Ta 0.000 0.000 0.000
Co 0.500 0.500 0.500
N 0.000 0.500 0.000
N 0.500 0.000 0.000
O 0.000 0.000 0.500

Results
Total magnetization, μB/cell: 3.5
V, Å³/atom: 12.55
Total energy, eV/atom: -8.491
Formation energy (no corrections), eV/atom: 0.028


8.
Material: LaYIn4
Method: DFT, GGA-PBEsol
State: relaxed

a b c (Å): 5.982 5.982 5.982
angles (deg): 60.00 60.00 60.00
Positions (direct):
La 0.000 0.000 0.000
Y 0.750 0.750 0.750
In 0.375 0.375 0.375
In 0.375 0.375 0.875
In 0.375 0.875 0.375
In 0.875 0.375 0.375

Results
Total magnetization, μB/cell: 0.0
V, Å³/atom: 25.23
Total energy, eV/atom: -4.493


9.
Material: SiTc2Mo
Method: DFT, GGA-PBEsol
State: relaxed

a b c (Å): 5.019 5.019 5.019
angles (deg): 144.46 131.36 61.67
Positions (direct):
Si 0.000 0.000 0.000
Tc 0.503 0.503 0.000
Tc 0.762 0.262 0.500
Mo 0.248 0.748 0.500

Results
Total magnetization, μB/cell: 0.0
V, Å³/atom: 13.64
Total energy, eV/atom: -10.320
Formation energy (no corrections), eV/atom: -0.308


10.
Material: Li2AsAu
Method: DFT, GGA-PBEsol
State: relaxed

a b c (Å): 2.820 3.918 5.447
angles (deg): 90.00 90.00 90.00
Positions (direct):
Li 0.000 0.000 0.241
Li 0.000 0.000 0.759
As 0.500 0.500 0.000
Au 0.500 0.500 0.500

Results
Total magnetization, μB/cell: 0.0
V, Å³/atom: 15.05
Total energy, eV/atom: -3.750


11.
Material: Ag3BO3
Method: DFT, GGA-PBEsol
State: relaxed

a b c (Å): 5.902 5.902 5.902
angles (deg): 117.07 117.07 117.07
Positions (direct):
Ag 0.000 0.516 0.484
Ag 0.484 0.000 0.516
Ag 0.516 0.484 0.000
B 0.000 0.000 0.000
O 0.000 0.137 0.863
O 0.137 0.863 0.000
O 0.863 0.000 0.137

Results
Excess energy over the best structure of this formula in the dataset, eV/f.u.: 0.37
Total magnetization, μB/cell: 0.0
V, Å³/atom: 12.82
Total energy, eV/atom: -5.491
Formation energy (no corrections), eV/atom: -0.820


12.
Material: CaZn2Cu
Method: DFT, GGA-PBEsol
State: relaxed

a b c (Å): 3.235 3.235 6.670
angles (deg): 90.00 90.00 90.00
Positions (direct):
Ca 0.000 0.000 0.000
Zn 0.000 0.000 0.469
Zn 0.500 0.500 0.686
Cu 0.500 0.500 0.302

Results
Total magnetization, μB/cell: 0.0
V, Å³/atom: 17.45
Total energy, eV/atom: -2.457


Q: Which value of total magnetization does entry 7 give?
A: 3.5 μB/cell


Repeat the tenth record exactly.
Material: Li2AsAu
Method: DFT, GGA-PBEsol
State: relaxed

a b c (Å): 2.820 3.918 5.447
angles (deg): 90.00 90.00 90.00
Positions (direct):
Li 0.000 0.000 0.241
Li 0.000 0.000 0.759
As 0.500 0.500 0.000
Au 0.500 0.500 0.500

Results
Total magnetization, μB/cell: 0.0
V, Å³/atom: 15.05
Total energy, eV/atom: -3.750


Q: Which of these has the highest total magnetization?
A: TaCoN2O